Entry 1:
An optimized crystal structure of Fe3Co4. Source: the Alexandria database, functional PBE-GGA.

Calculated values
Energy of formation from the pure elements in eV per atom: -0.04
Energy above the lowest structure with this stoichiometry in meV/atom: 0

The structure in CIF format:
```
data_Fe3Co4
_chemical_formula_sum 'Fe6 Co8'
_cell_length_a 2.8384
_cell_length_b 2.8384
_cell_length_c 19.8370
_cell_angle_alpha 90.00
_cell_angle_beta 90.00
_cell_angle_gamma 90.00
_symmetry_space_group_name_H-M 'I 4/m m m'
_symmetry_Int_Tables_number 139
_symmetry_space_group_name_Hall '-I 4 2'
loop_
_atom_site_label
_atom_site_type_symbol
_atom_site_fract_x
_atom_site_fract_y
_atom_site_fract_z
Fe1 Fe 0.0000 0.0000 0.0000
Fe2 Fe 0.0000 0.0000 0.1441
Co1 Co 0.0000 0.0000 0.2875
Co2 Co 0.0000 0.0000 0.4286
```

Entry 2:
An optimized crystal structure of TlTe2Br8. Source: the Alexandria database, functional PBE-GGA.

Calculated values
Energy above the lowest structure with this stoichiometry in meV/atom: 2

The structure in CIF format:
```
data_TlTe2Br8
_chemical_formula_sum 'Tl1 Te2 Br8'
_cell_length_a 9.7196
_cell_length_b 9.7196
_cell_length_c 5.7749
_cell_angle_alpha 90.00
_cell_angle_beta 90.00
_cell_angle_gamma 120.00
_symmetry_space_group_name_H-M 'P -3'
_symmetry_Int_Tables_number 147
loop_
_symmetry_equiv_pos_as_xyz
'x,y,z'
'-x,-y,-z'
'-y,x-y,z'
'y,-x+y,-z'
'-x+y,-x,z'
'x-y,x,-z'
loop_
_atom_site_label
_atom_site_type_symbol
_atom_site_fract_x
_atom_site_fract_y
_atom_site_fract_z
Tl1 Tl 0.0000 0.0000 0.0000
Te1 Te 0.3333 0.6667 0.2527
Br1 Br 0.1753 0.8228 0.2638
Br2 Br 0.3333 0.6667 0.7565
```

Entry 3:
An optimized crystal structure of Li2ErSb. Source: the Alexandria database, functional PBE-GGA.

The structure in CIF format:
```
data_Li2ErSb
_chemical_formula_sum 'Li2 Er1 Sb1'
_cell_length_a 4.3398
_cell_length_b 4.3398
_cell_length_c 4.7741
_cell_angle_alpha 90.00
_cell_angle_beta 90.00
_cell_angle_gamma 90.00
_symmetry_space_group_name_H-M 'P 4/m m m'
_symmetry_Int_Tables_number 123
_symmetry_space_group_name_Hall '-P 4 2'
loop_
_atom_site_label
_atom_site_type_symbol
_atom_site_fract_x
_atom_site_fract_y
_atom_site_fract_z
Li1 Li 0.0000 0.5000 0.0000
Er1 Er 0.0000 0.0000 0.5000
Sb1 Sb 0.5000 0.5000 0.5000
```

Entry 4:
An optimized crystal structure of Zr3TeC. Source: the Alexandria database, functional PBE-GGA.

Calculated values
Energy above the lowest structure with this stoichiometry in meV/atom: 0

The structure in CIF format:
```
data_Zr3TeC
_chemical_formula_sum 'Zr12 Te4 C4'
_cell_length_a 3.5552
_cell_length_b 11.9675
_cell_length_c 8.9535
_cell_angle_alpha 90.00
_cell_angle_beta 90.00
_cell_angle_gamma 90.00
_symmetry_space_group_name_H-M 'C m c m'
_symmetry_Int_Tables_number 63
_symmetry_space_group_name_Hall '-C 2c 2'
loop_
_atom_site_label
_atom_site_type_symbol
_atom_site_fract_x
_atom_site_fract_y
_atom_site_fract_z
Zr1 Zr 0.0000 0.0472 0.2500
Zr2 Zr 0.0000 0.3773 0.0501
Te1 Te 0.0000 0.2567 0.7500
C1 C 0.0000 0.0000 0.0000
```

Entry 5:
An optimized crystal structure of CdIn. Source: the Alexandria database, functional PBE-GGA.

Calculated values
Energy of formation from the pure elements in eV per atom: 0.04

The structure in CIF format:
```
data_CdIn
_chemical_formula_sum 'Cd2 In2'
_cell_length_a 3.2310
_cell_length_b 3.2310
_cell_length_c 11.1018
_cell_angle_alpha 90.00
_cell_angle_beta 90.00
_cell_angle_gamma 120.00
_symmetry_space_group_name_H-M 'P -3 m 1'
_symmetry_Int_Tables_number 164
_symmetry_space_group_name_Hall '-P 3 2"'
loop_
_atom_site_label
_atom_site_type_symbol
_atom_site_fract_x
_atom_site_fract_y
_atom_site_fract_z
Cd1 Cd 0.3333 0.6667 0.1152
In1 In 0.3333 0.6667 0.6346
```

Entry 6:
An optimized crystal structure of YZnCd3. Source: the Alexandria database, functional PBE-GGA.

Calculated values
Energy of formation from the pure elements in eV per atom: -0.21
Energy above the lowest structure with this stoichiometry in meV/atom: 12

The structure in CIF format:
```
data_YZnCd3
_chemical_formula_sum 'Y4 Zn4 Cd12'
_cell_length_a 9.0726
_cell_length_b 4.1989
_cell_length_c 11.8318
_cell_angle_alpha 90.00
_cell_angle_beta 90.00
_cell_angle_gamma 90.00
_symmetry_space_group_name_H-M 'P n m a'
_symmetry_Int_Tables_number 62
loop_
_symmetry_equiv_pos_as_xyz
'x,y,z'
'-x,-y,-z'
'-x+1/2,-y,z+1/2'
'x+1/2,y,-z+1/2'
'x+1/2,-y+1/2,-z+1/2'
'-x+1/2,y+1/2,z+1/2'
'-x,y+1/2,-z'
'x,-y+1/2,z'
loop_
_atom_site_label
_atom_site_type_symbol
_atom_site_fract_x
_atom_site_fract_y
_atom_site_fract_z
Y1 Y 0.1797 0.2500 0.0032
Zn1 Zn 0.1334 0.2500 0.6303
Cd1 Cd 0.0639 0.2500 0.4060
Cd2 Cd 0.0888 0.7500 0.2043
Cd3 Cd 0.1462 0.7500 0.7959
```

Entry 7:
An optimized crystal structure of PrPaRhAu. Source: the Alexandria database, functional PBE-GGA.

Calculated values
Energy of formation from the pure elements in eV per atom: -0.41

The structure in CIF format:
```
data_PrPaRhAu
_chemical_formula_sum 'Pr4 Pa4 Rh4 Au4'
_cell_length_a 7.1797
_cell_length_b 7.1797
_cell_length_c 7.1797
_cell_angle_alpha 90.00
_cell_angle_beta 90.00
_cell_angle_gamma 90.00
_symmetry_space_group_name_H-M 'F -4 3 m'
_symmetry_Int_Tables_number 216
_symmetry_space_group_name_Hall 'F -4 2 3'
loop_
_atom_site_label
_atom_site_type_symbol
_atom_site_fract_x
_atom_site_fract_y
_atom_site_fract_z
Pr1 Pr 0.0000 0.0000 0.0000
Pa1 Pa 0.0000 0.0000 0.5000
Rh1 Rh 0.2500 0.2500 0.2500
Au1 Au 0.2500 0.2500 0.7500
```

Entry 8:
An optimized crystal structure of Pm2ThPa. Source: the Alexandria database, functional PBE-GGA.

Calculated values
Energy of formation from the pure elements in eV per atom: 0.21
Energy above the lowest structure with this stoichiometry in meV/atom: 0

The structure in CIF format:
```
data_Pm2ThPa
_chemical_formula_sum 'Pm2 Th1 Pa1'
_cell_length_a 3.4269
_cell_length_b 3.4269
_cell_length_c 10.5169
_cell_angle_alpha 90.00
_cell_angle_beta 90.00
_cell_angle_gamma 90.00
_symmetry_space_group_name_H-M 'P 4/m m m'
_symmetry_Int_Tables_number 123
_symmetry_space_group_name_Hall '-P 4 2'
loop_
_atom_site_label
_atom_site_type_symbol
_atom_site_fract_x
_atom_site_fract_y
_atom_site_fract_z
Pm1 Pm 0.0000 0.0000 0.2327
Th1 Th 0.5000 0.5000 0.5000
Pa1 Pa 0.5000 0.5000 0.0000
```

Entry 9:
An optimized crystal structure of TbSmCoNi. Source: the Alexandria database, functional PBE-GGA.

Calculated values
Energy of formation from the pure elements in eV per atom: -0.26

The structure in CIF format:
```
data_TbSmCoNi
_chemical_formula_sum 'Tb2 Sm2 Co2 Ni2'
_cell_length_a 3.9614
_cell_length_b 3.8781
_cell_length_c 10.6946
_cell_angle_alpha 90.00
_cell_angle_beta 90.00
_cell_angle_gamma 90.00
_symmetry_space_group_name_H-M 'A m m 2'
_symmetry_Int_Tables_number 38
loop_
_symmetry_equiv_pos_as_xyz
'x,y,z'
'-x,-y,z'
'-x,y,z'
'x,-y,z'
'x,y+1/2,z+1/2'
'-x,-y+1/2,z+1/2'
'-x,y+1/2,z+1/2'
'x,-y+1/2,z+1/2'
loop_
_atom_site_label
_atom_site_type_symbol
_atom_site_fract_x
_atom_site_fract_y
_atom_site_fract_z
Tb1 Tb 0.0000 0.0000 0.0000
Sm1 Sm 0.5000 0.0000 0.7184
Co1 Co 0.0000 0.0000 0.2938
Ni1 Ni 0.5000 0.0000 0.4288
```

Entry 10:
An optimized crystal structure of EuAl3Pd2. Source: the Alexandria database, functional PBE-GGA.

Calculated values
Energy of formation from the pure elements in eV per atom: -0.76

The structure in CIF format:
```
data_EuAl3Pd2
_chemical_formula_sum 'Eu3 Al9 Pd6'
_cell_length_a 9.5060
_cell_length_b 9.5060
_cell_length_c 4.2804
_cell_angle_alpha 90.00
_cell_angle_beta 90.00
_cell_angle_gamma 120.00
_symmetry_space_group_name_H-M 'P 6/m m m'
_symmetry_Int_Tables_number 191
_symmetry_space_group_name_Hall '-P 6 2'
loop_
_atom_site_label
_atom_site_type_symbol
_atom_site_fract_x
_atom_site_fract_y
_atom_site_fract_z
Eu1 Eu 0.0000 0.0000 0.0000
Eu2 Eu 0.3333 0.6667 0.5000
Al1 Al 0.0000 0.3028 0.5000
Al2 Al 0.0000 0.5000 0.0000
Pd1 Pd 0.1849 0.3698 0.0000
```

no.,energy (eV/atom)
1,-7.73
2,-2.33
3,-3.67
4,-8.38
5,-1.79
6,-2.31
7,-6.64
8,-6.40
9,-5.82
10,-6.07